# PBE-GGA Hf2Nb4Co3N3, relaxed
data_Hf2Nb4Co3N3
_chemical_formula_sum 'Hf8 Nb16 Co12 N12'
_cell_length_a 9.223
_cell_length_b 5.313
_cell_length_c 13.433
_cell_angle_alpha 90.00
_cell_angle_beta 103.32
_cell_angle_gamma 90.00
_space_group_name_H-M_alt 'C 1 2/c 1'
_space_group_IT_number 15
loop_
_space_group_symop_operation_xyz
'x,y,z'
'-x,-y,-z'
'-x,y,-z+1/2'
'x,-y,z+1/2'
'x+1/2,y+1/2,z'
'-x+1/2,-y+1/2,-z'
'-x+1/2,y+1/2,-z+1/2'
'x+1/2,-y+1/2,z+1/2'
loop_
_atom_site_label
_atom_site_fract_x
_atom_site_fract_y
_atom_site_fract_z
Hf1 0.041 0.082 0.378
Nb1 0.114 0.416 0.592
Nb2 0.220 0.416 0.908
Co1 0.000 0.426 0.750
Co2 0.242 0.157 0.750
N1 0.076 0.230 0.000
N2 0.250 0.250 0.500
# * calculated total energy: -458.4 eV for the cell shown